# Cs2TcHgBr6, relaxed, DFT PBE-GGA
# * uncorrected formation energy: -917 kJ/mol of formula units
# * Fermi-level density of states: 0.000 states/eV per atom
# * total moment: 0.300 μB/atom
# * uncorrected energy: -3.191 eV per atom
data_Cs2TcHgBr6
_chemical_formula_sum 'Cs8 Tc4 Hg4 Br24'
_cell_length_a 11.648
_cell_length_b 11.648
_cell_length_c 11.648
_cell_angle_alpha 90.00
_cell_angle_beta 90.00
_cell_angle_gamma 90.00
_space_group_name_H-M_alt 'F m -3 m'
_space_group_IT_number 225
_space_group_name_Hall '-F 4 2 3'
loop_
_atom_site_label
_atom_site_type_symbol
_atom_site_fract_x
_atom_site_fract_y
_atom_site_fract_z
_atom_site_occupancy
Cs1 Cs 0.250 0.250 0.250 1
Tc1 Tc 0.000 0.000 0.000 1
Hg1 Hg 0.000 0.000 0.500 1
Br1 Br 0.000 0.000 0.219 1


# CsTcHgBr6, relaxed, DFT PBE-GGA
# * uncorrected formation energy: -609 kJ/mol of formula units
# * Fermi-level density of states: 0.058 states/eV per atom
# * total moment: 0.222 μB/atom
# * uncorrected energy: -3.097 eV per atom
data_CsTcHgBr6
_chemical_formula_sum 'Cs1 Tc1 Hg1 Br6'
_cell_length_a 7.2806
_cell_length_b 7.2806
_cell_length_c 7.9081
_cell_angle_alpha 90.00
_cell_angle_beta 90.00
_cell_angle_gamma 120.00
_space_group_name_H-M_alt 'P 3 1 2'
_space_group_IT_number 149
loop_
_space_group_symop_operation_xyz
'x,y,z'
'-y,x-y,z'
'-x+y,-x,z'
'-y,-x,-z'
'-x+y,y,-z'
'x,x-y,-z'
loop_
_atom_site_label
_atom_site_type_symbol
_atom_site_fract_x
_atom_site_fract_y
_atom_site_fract_z
_atom_site_occupancy
Cs1 Cs 0.0000 0.0000 0.0000 1
Tc1 Tc 0.6667 0.3333 0.5000 1
Hg1 Hg 0.3333 0.6667 0.5000 1
Br1 Br 0.3865 0.0427 0.6838 1


# Cs2TiHg2Br4, relaxed, DFT PBE-GGA
# * uncorrected formation energy: -949 kJ/mol of formula units
# * Fermi-level density of states: 0.901 states/eV per atom
# * total moment: 0.223 μB/atom
# * uncorrected energy: -2.970 eV per atom
data_Cs2TiHg2Br4
_chemical_formula_sum 'Cs4 Ti2 Hg4 Br8'
_cell_length_a 8.516
_cell_length_b 8.516
_cell_length_c 9.090
_cell_angle_alpha 90.00
_cell_angle_beta 90.00
_cell_angle_gamma 90.00
_space_group_name_H-M_alt 'I 4/m m m'
_space_group_IT_number 139
_space_group_name_Hall '-I 4 2'
loop_
_atom_site_label
_atom_site_type_symbol
_atom_site_fract_x
_atom_site_fract_y
_atom_site_fract_z
_atom_site_occupancy
Cs1 Cs 0.000 0.500 0.250 1
Ti1 Ti 0.000 0.000 0.000 1
Hg1 Hg 0.000 0.000 0.327 1
Br1 Br 0.218 0.218 0.000 1


# Cs2TlHg2Br6, relaxed, DFT PBE-GGA
# * uncorrected formation energy: -1018 kJ/mol of formula units
# * Fermi-level density of states: 0.463 states/eV per atom
# * total moment: 0.000 μB/atom
# * uncorrected energy: -2.297 eV per atom
data_Cs2TlHg2Br6
_chemical_formula_sum 'Cs4 Tl2 Hg4 Br12'
_cell_length_a 14.109
_cell_length_b 8.437
_cell_length_c 9.464
_cell_angle_alpha 90.00
_cell_angle_beta 118.92
_cell_angle_gamma 90.00
_space_group_name_H-M_alt 'C 1 2/m 1'
_space_group_IT_number 12
loop_
_space_group_symop_operation_xyz
'x,y,z'
'-x,-y,-z'
'-x,y,-z'
'x,-y,z'
'x+1/2,y+1/2,z'
'-x+1/2,-y+1/2,-z'
'-x+1/2,y+1/2,-z'
'x+1/2,-y+1/2,z'
loop_
_atom_site_label
_atom_site_type_symbol
_atom_site_fract_x
_atom_site_fract_y
_atom_site_fract_z
_atom_site_occupancy
Cs1 Cs 0.214 0.000 0.198 1
Tl1 Tl 0.000 0.000 0.500 1
Hg1 Hg 0.033 0.500 0.166 1
Br1 Br 0.068 0.234 0.810 1
Br2 Br 0.243 0.500 0.385 1


- Number 3 is which compound?
  Cs2TiHg2Br4